! TcNi2Os | Alexandria | PBEsol | optimized geometry; values from VASP
! N(E_F) (states/eV/atom): 1.0244
! Polymorph energy (0 for the lowest one) (meV/atom): 0.0
! Energy of formation from the pure elements (eV/atom): 0.014
! Density (g cm⁻³): 13.82
&SYSTEM
  ibrav = 0, nat = 4, ntyp = 3
/
ATOMIC_SPECIES
Ni 58.69 Ni.upf
Os 190.23 Os.upf
Tc 98.00 Tc.upf
CELL_PARAMETERS angstrom
-2.286 -2.842 -0.044
2.028 -1.671 2.530
-1.871 3.824 1.395
ATOMIC_POSITIONS angstrom
Ni -0.129 -2.256 1.243
Ni -2.143 -0.637 1.297
Os 0.000 0.000 0.000
Tc 0.014 -0.051 2.584

---

! Ta2MnNi | Alexandria | PBEsol | optimized geometry; values from VASP
! N(E_F) (states/eV/atom): 1.0674
! Polymorph energy (0 for the lowest one) (meV/atom): 0.0
! Energy of formation from the pure elements (eV/atom): 0.029
! Density (g cm⁻³): 13.91
&SYSTEM
  ibrav = 0, nat = 4, ntyp = 3
/
ATOMIC_SPECIES
Mn 54.94 Mn.upf
Ni 58.69 Ni.upf
Ta 180.95 Ta.upf
CELL_PARAMETERS angstrom
2.891 0.000 0.000
0.000 4.459 0.047
-1.445 -1.042 4.393
ATOMIC_POSITIONS angstrom
Mn 0.000 1.239 4.308
Ni 1.445 0.517 2.283
Ta 0.000 0.166 0.114
Ta 0.000 2.681 2.152

---

! In3Pb | Alexandria | PBEsol | optimized geometry; values from VASP
! N(E_F) (states/eV/atom): 0.3089
! Energy of formation from the pure elements (eV/atom): 0.018
! Density (g cm⁻³): 8.52
&SYSTEM
  ibrav = 0, nat = 4, ntyp = 2
/
ATOMIC_SPECIES
Pb 207.20 Pb.upf
In 114.82 In.upf
CELL_PARAMETERS angstrom
5.338 0.000 0.000
2.669 4.623 0.000
2.669 1.541 4.359
ATOMIC_POSITIONS angstrom
Pb 0.000 0.000 0.000
In 2.669 1.541 1.090
In 8.007 4.623 3.269
In 5.338 3.082 2.179